# NaCd11 (PBE, relaxed)
data_NaCd11
_symmetry_space_group_name_H-M 'I 41/a m d'
_symmetry_Int_Tables_number 141
_cell_length_a 12.149
_cell_length_b 12.149
_cell_length_c 7.850
_cell_angle_alpha 90.00
_cell_angle_beta 90.00
_cell_angle_gamma 90.00
loop_
_symmetry_equiv_pos_as_xyz
'x,y,z'
'-x,-y,-z'
'-y+1/4,x+3/4,z+1/4'
'y+1/4,-x+3/4,-z+1/4'
'-x+1/2,-y,z+1/2'
'x+1/2,y,-z+1/2'
'y+1/4,-x+1/4,z+3/4'
'-y+1/4,x+1/4,-z+3/4'
'x,-y,-z'
'-x,y,z'
'-y+1/4,-x+1/4,-z+3/4'
'y+1/4,x+1/4,z+3/4'
'-x+1/2,y,-z+1/2'
'x+1/2,-y,z+1/2'
'y+1/4,x+3/4,-z+1/4'
'-y+1/4,-x+3/4,z+1/4'
'x+1/2,y+1/2,z+1/2'
'-x+1/2,-y+1/2,-z+1/2'
'-y+3/4,x+1/4,z+3/4'
'y+3/4,-x+1/4,-z+3/4'
'-x,-y+1/2,z'
'x,y+1/2,-z'
'y+3/4,-x+3/4,z+1/4'
'-y+3/4,x+3/4,-z+1/4'
'x+1/2,-y+1/2,-z+1/2'
'-x+1/2,y+1/2,z+1/2'
'-y+3/4,-x+3/4,-z+1/4'
'y+3/4,x+3/4,z+1/4'
'-x,y+1/2,-z'
'x,-y+1/2,z'
'y+3/4,x+1/4,-z+3/4'
'-y+3/4,-x+1/4,z+3/4'
loop_
_atom_site_label
_atom_site_fract_x
_atom_site_fract_y
_atom_site_fract_z
Na1 0.000 0.250 0.375
Cd1 0.000 0.000 0.000
Cd2 0.000 0.250 0.875
Cd3 0.121 0.045 0.674
# Total moment (Bohr magnetons per cell): 0.0
# Energy of formation (kJ per mole of atoms): -3.5